PBE CsLuZnO3, optimized geometry; VASP energy = -0.431 Ry per atom
1.0
1.745 -6.662 0.000
1.745 6.662 0.000
0.000 0.000 8.882
Cs Lu Zn O
2 2 2 6
direct
0.222 0.778 0.750
0.778 0.222 0.250
0.500 0.500 0.000
0.500 0.500 0.500
0.056 0.944 0.250
0.944 0.056 0.750
0.103 0.897 0.046
0.103 0.897 0.454
0.470 0.530 0.250
0.530 0.470 0.750
0.897 0.103 0.546
0.897 0.103 0.954